# Ce3PuSn

A relaxed Ce3PuSn crystal (PBE-GGA, the Alexandria database).

Cell lengths 6.1893, 8.4508, 10.1236 Å; angles 90.00, 90.00, 90.00 degrees
With the nearest neighbours (Å) after each atom.
Atoms (fractional coordinates):
1 Sn 0.8615 0.9154 0.7500  9 Ce 3.24-3.45, 2 Pu 3.45
2 Sn 0.1385 0.0846 0.2500  9 Ce 3.24-3.45, 2 Pu 3.45
3 Sn 0.6385 0.4154 0.7500  9 Ce 3.24-3.45, 2 Pu 3.45
4 Sn 0.3615 0.5846 0.2500  9 Ce 3.24-3.45, 2 Pu 3.45
5 Ce 0.9198 0.2035 0.5419  1 Pu 2.59
6 Ce 0.3634 0.0600 0.7500  2 Pu 2.72
7 Ce 0.1366 0.5600 0.7500  2 Pu 2.72
8 Ce 0.5802 0.7035 0.5419  1 Pu 2.59
9 Ce 0.9198 0.2035 0.9581  1 Pu 2.59
10 Ce 0.6366 0.9400 0.2500  2 Pu 2.72
11 Ce 0.8634 0.4400 0.2500  2 Pu 2.72
12 Ce 0.0802 0.7965 0.0419  1 Pu 2.59
13 Ce 0.0802 0.7965 0.4581  1 Pu 2.59
14 Ce 0.5802 0.7035 0.9581  1 Pu 2.59
15 Ce 0.4198 0.2965 0.0419  1 Pu 2.59
16 Ce 0.4198 0.2965 0.4581  1 Pu 2.59
17 Pu 0.5000 0.0000 0.0000  4 Ce 2.59-2.72
18 Pu 0.5000 0.0000 0.5000  4 Ce 2.59-2.72
19 Pu 0.0000 0.5000 0.0000  4 Ce 2.59-2.72
20 Pu 0.0000 0.5000 0.5000  4 Ce 2.59-2.72

Properties
The total magnetization comes out at 19.7 Bohr magnetons per cell.


# Ce2Pu3Sn2

A relaxed Ce2Pu3Sn2 crystal (PBE-GGA, the Alexandria database).

Cell lengths 4.9634, 9.5516, 5.7290 Å; angles 132.78, 115.67, 90.00 degrees
With the nearest neighbours (Å) after each atom.
Atoms (fractional coordinates):
1 Ce 0.1221 0.2748 0.2441  2 Pu 2.83, 1 Sn 3.16
2 Ce 0.8779 0.7252 0.7559  2 Pu 2.83, 1 Sn 3.16
3 Pu 0.3362 0.8298 0.6724  2 Pu 2.33-2.34
4 Pu 0.6638 0.1702 0.3276  2 Pu 2.33-2.34
5 Pu 0.0000 0.5000 0.0000  2 Pu 2.34
6 Sn 0.3794 0.2084 0.7589  4 Ce 3.16-3.48, 6 Pu 3.17-3.29
7 Sn 0.6206 0.7916 0.2411  4 Ce 3.16-3.48, 6 Pu 3.17-3.29

Properties
The total magnetization comes out at 1.1 Bohr magnetons per cell.


# Ce6PuSn3

A relaxed Ce6PuSn3 crystal (PBE-GGA, the Alexandria database).

Cell lengths 8.2643, 8.2643, 8.2643 Å; angles 77.86, 77.86, 77.86 degrees
With the nearest neighbours (Å) after each atom.
Atoms (fractional coordinates):
1 Ce 0.4728 0.8108 0.4728  1 Pu 2.50
2 Ce 0.1955 0.1955 0.8606  1 Pu 2.47
3 Ce 0.1394 0.8045 0.8045  1 Pu 2.47
4 Ce 0.5272 0.5272 0.1892  1 Pu 2.50
5 Ce 0.8108 0.4728 0.4728  1 Pu 2.50
6 Ce 0.5272 0.1892 0.5272  1 Pu 2.50
7 Ce 0.8045 0.1394 0.8045  1 Pu 2.47
8 Ce 0.1892 0.5272 0.5272  1 Pu 2.50
9 Ce 0.4728 0.4728 0.8108  1 Pu 2.50
10 Ce 0.8045 0.8045 0.1394  1 Pu 2.47
11 Ce 0.1955 0.8606 0.1955  1 Pu 2.47
12 Ce 0.8606 0.1955 0.1955  1 Pu 2.47
13 Sn 0.1441 0.1441 0.4677  3 Sn 3.36-3.60, 9 Ce 3.41-3.51
14 Sn 0.8559 0.5323 0.8559  3 Sn 3.36-3.60, 9 Ce 3.41-3.51
15 Sn 0.4677 0.1441 0.1441  3 Sn 3.36-3.60, 9 Ce 3.41-3.51
16 Sn 0.5323 0.8559 0.8559  3 Sn 3.36-3.60, 9 Ce 3.41-3.51
17 Sn 0.1441 0.4677 0.1441  3 Sn 3.36-3.60, 9 Ce 3.41-3.51
18 Sn 0.8559 0.8559 0.5323  3 Sn 3.36-3.60, 9 Ce 3.41-3.51
19 Pu 0.5000 0.5000 0.5000  6 Ce 2.50
20 Pu 0.0000 0.0000 0.0000  6 Ce 2.47

Properties
The total magnetization comes out at 0.0 Bohr magnetons per cell.


# CePuSn2

A relaxed CePuSn2 crystal (PBE-GGA, the Alexandria database).

Cell lengths 3.4108, 3.4108, 9.1919 Å; angles 90.00, 90.00, 90.00 degrees
With the nearest neighbours (Å) after each atom.
Atoms (fractional coordinates):
1 Ce 0.5000 0.5000 0.0000  8 Sn 3.35, 4 Ce 3.41
2 Sn 0.0000 0.0000 0.2531  4 Pu 3.31, 4 Ce 3.35, 4 Sn 3.41
3 Sn 0.0000 0.0000 0.7469  4 Pu 3.31, 4 Ce 3.35, 4 Sn 3.41
4 Pu 0.5000 0.5000 0.5000  8 Sn 3.31, 4 Pu 3.41

Properties
The total magnetization comes out at 4.8 Bohr magnetons per cell.


# CePu2Sn3

A relaxed CePu2Sn3 crystal (PBE-GGA, the Alexandria database).

Cell lengths 4.1745, 4.1747, 9.1960 Å; angles 90.00, 90.00, 90.00 degrees
With the nearest neighbours (Å) after each atom.
Atoms (fractional coordinates):
1 Sn 0.0000 0.0000 0.3323  2 Sn 3.06-3.08, 4 Pu 3.29, 4 Ce 3.33
2 Sn 0.0000 0.0000 0.6677  2 Sn 3.06-3.08, 4 Pu 3.29, 4 Ce 3.33
3 Sn 0.0000 0.0000 0.0000  2 Sn 3.06, 8 Pu 3.35
4 Ce 0.5000 0.5000 0.5000  2 Pu 3.01, 8 Sn 3.33
5 Pu 0.5000 0.5000 0.1731  1 Ce 3.01, 1 Pu 3.18, 8 Sn 3.29-3.35
6 Pu 0.5000 0.5000 0.8269  1 Ce 3.01, 1 Pu 3.18, 8 Sn 3.29-3.35

Properties
The total magnetization comes out at 12.5 Bohr magnetons per cell.


# Ce3Pu2Sn2

A relaxed Ce3Pu2Sn2 crystal (PBE-GGA, the Alexandria database).

Cell lengths 4.6926, 6.0545, 7.2688 Å; angles 88.99, 90.00, 112.80 degrees
With the nearest neighbours (Å) after each atom.
Atoms (fractional coordinates):
1 Ce 0.6223 0.2447 0.4847  1 Ce 2.74, 2 Pu 2.93
2 Ce 0.3777 0.7553 0.5153  1 Ce 2.74, 2 Pu 2.93
3 Ce 0.5000 0.0000 0.0000  4 Sn 3.28, 4 Pu 3.32
4 Sn 0.8421 0.6842 0.2065  5 Ce 3.15-3.28, 4 Pu 3.27-3.30
5 Sn 0.1579 0.3158 0.7935  5 Ce 3.15-3.28, 4 Pu 3.27-3.30
6 Pu 0.1366 0.2732 0.2430  2 Ce 2.93, 1 Sn 3.27
7 Pu 0.8634 0.7268 0.7570  2 Ce 2.93, 1 Sn 3.27

Properties
The total magnetization comes out at 15.0 Bohr magnetons per cell.


# Ce4PuSn3

A relaxed Ce4PuSn3 crystal (PBE-GGA, the Alexandria database).

Cell lengths 4.4341, 4.9216, 10.0262 Å; angles 90.00, 90.00, 90.00 degrees
With the nearest neighbours (Å) after each atom.
Atoms (fractional coordinates):
1 Ce 0.0000 0.0000 0.0000  4 Sn 3.27, 4 Pu 3.31, 4 Ce 3.50
2 Ce 0.0000 0.5000 0.2486  6 Sn 3.31-3.36, 2 Pu 3.34, 4 Ce 3.50-3.52
3 Ce 0.0000 0.5000 0.7514  6 Sn 3.31-3.36, 2 Pu 3.34, 4 Ce 3.50-3.52
4 Ce 0.0000 0.0000 0.5000  8 Sn 3.31-3.42, 4 Ce 3.52
5 Sn 0.5000 0.5000 0.5000  8 Ce 3.31-3.36, 4 Sn 3.59
6 Sn 0.5000 0.0000 0.2396  8 Ce 3.27-3.42, 2 Pu 3.44, 2 Sn 3.59
7 Sn 0.5000 0.0000 0.7604  8 Ce 3.27-3.42, 2 Pu 3.44, 2 Sn 3.59
8 Pu 0.5000 0.5000 0.0000  8 Ce 3.31-3.34, 4 Sn 3.44

Properties
The total magnetization comes out at 9.7 Bohr magnetons per cell.


# CePu2Sn9

A relaxed CePu2Sn9 crystal (PBE-GGA, the Alexandria database).

Cell lengths 4.6978, 4.6975, 14.0178 Å; angles 89.99, 89.97, 90.02 degrees
With the nearest neighbours (Å) after each atom.
Atoms (fractional coordinates):
1 Sn 0.5002 0.5001 0.6659  8 Sn 3.30-3.31, 4 Pu 3.32
2 Sn 0.5000 0.5000 0.0000  4 Ce 3.32, 8 Sn 3.33
3 Sn 0.0000 0.5000 0.5000  8 Sn 3.30-3.32, 4 Pu 3.32
4 Sn 0.4999 0.9999 0.1686  2 Pu 3.29, 8 Sn 3.30-3.33, 2 Ce 3.33
5 Sn 0.9998 0.4999 0.1686  2 Pu 3.29, 8 Sn 3.30-3.33, 2 Ce 3.33
6 Sn 0.5000 0.0000 0.5000  8 Sn 3.30-3.32, 4 Pu 3.31-3.32
7 Sn 0.5001 0.0001 0.8314  2 Pu 3.29, 8 Sn 3.30-3.33, 2 Ce 3.33
8 Sn 0.0001 0.5001 0.8314  2 Pu 3.29, 8 Sn 3.30-3.33, 2 Ce 3.33
9 Sn 0.4998 0.4999 0.3341  8 Sn 3.30-3.31, 4 Pu 3.32
10 Pu 0.0002 0.0001 0.6670  12 Sn 3.29-3.32
11 Pu 0.9998 0.9999 0.3330  12 Sn 3.29-3.32
12 Ce 0.0000 0.0000 0.0000  12 Sn 3.32-3.33

Properties
The total magnetization comes out at 10.7 Bohr magnetons per cell.


| no. | calculated formation energy (eV/atom) |
| --- | --- |
| 1 | -0.2345 |
| 2 | -0.2540 |
| 3 | -0.4057 |
| 4 | -0.4854 |
| 5 | -0.4650 |
| 6 | -0.2760 |
| 7 | -0.4679 |
| 8 | -0.4226 |